First-principles (PBE) data for an optimized crystal structure of PmPaGaPd, as listed in the Alexandria database.

Output
The energy of formation from the pure elements comes out at -302 meV/atom. As for the volume: 23.18 Å³ per atom. As for the energy: -23.7 eV/cell.

Unit cell a=5.0803 b=5.0803 c=5.0803 alpha=60.00 beta=60.00 gamma=60.00
With the nearest neighbours (Å) after each atom.
Element x y z (fractional)
1 Pa 0.0000 0.0000 0.0000  4 Ga 3.11, 4 Pd 3.11
2 Ga 0.2500 0.2500 0.2500  4 Pm 3.11, 4 Pa 3.11
3 Pd 0.7500 0.7500 0.7500  4 Pm 3.11, 4 Pa 3.11
4 Pm 0.5000 0.5000 0.5000  4 Pd 3.11, 4 Ga 3.11

---

First-principles (PBE) data for an optimized crystal structure of Pa2Ga4PdPt3, as listed in the Alexandria database.

Output
The energy of formation from the pure elements comes out at -752 meV/atom. As for the volume: 18.53 Å³ per atom. As for the energy: -61.9 eV/cell.

Unit cell a=4.0677 b=4.0677 c=11.1993 alpha=90.00 beta=90.00 gamma=90.00
With the nearest neighbours (Å) after each atom.
Element x y z (fractional)
1 Pa 0.5000 0.0000 0.2458  4 Pt 3.08, 8 Ga 3.18-3.42
2 Pa 0.0000 0.5000 0.7542  4 Pt 3.08, 8 Ga 3.18-3.42
3 Ga 0.5000 0.5000 0.0000  4 Pt 2.62, 4 Ga 2.88
4 Ga 0.0000 0.0000 0.0000  4 Pt 2.62, 4 Ga 2.88
5 Ga 0.5000 0.0000 0.6324  3 Pt 2.46-2.52, 2 Pd 2.52
6 Ga 0.0000 0.5000 0.3676  3 Pt 2.46-2.52, 2 Pd 2.52
7 Pd 0.5000 0.5000 0.5000  4 Ga 2.52
8 Pt 0.0000 0.0000 0.5000  4 Ga 2.52
9 Pt 0.5000 0.0000 0.8522  5 Ga 2.46-2.62
10 Pt 0.0000 0.5000 0.1478  5 Ga 2.46-2.62

---

energy of number 2 (Pa2Ga4PdPt3)?
-61.9 eV/cell

---

Which of these has the lowest energy?
Pa2Ga4PdPt3

---

Number 1 is which compound?
PmPaGaPd